! PBE with a Hubbard U VH8C2N2O6F, relaxed; values from VASP
&SYSTEM
  ibrav = 0, nat = 80, ntyp = 6
/
ATOMIC_SPECIES
V 50.94 V.upf
H 1.01 H.upf
C 12.01 C.upf
N 14.01 N.upf
O 16.00 O.upf
F 19.00 F.upf
CELL_PARAMETERS angstrom
11.821 0.000 0.000
0.000 9.500 0.000
-0.551 0.000 7.408
ATOMIC_POSITIONS crystal
V 0.236 0.029 0.174
V 0.236 0.471 0.674
V 0.764 0.529 0.326
V 0.764 0.971 0.826
H 0.009 0.586 0.820
H 0.009 0.914 0.320
H 0.046 0.249 0.175
H 0.046 0.251 0.675
H 0.096 0.123 0.545
H 0.096 0.377 0.045
H 0.122 0.121 0.775
H 0.122 0.379 0.275
H 0.340 0.031 0.673
H 0.340 0.469 0.173
H 0.366 0.200 0.752
H 0.366 0.300 0.252
H 0.446 0.130 0.594
H 0.446 0.370 0.094
H 0.459 0.068 0.805
H 0.459 0.432 0.305
H 0.541 0.568 0.695
H 0.541 0.932 0.195
H 0.554 0.630 0.906
H 0.554 0.870 0.406
H 0.634 0.700 0.748
H 0.634 0.800 0.248
H 0.660 0.531 0.827
H 0.660 0.969 0.327
H 0.878 0.621 0.725
H 0.878 0.879 0.225
H 0.904 0.623 0.955
H 0.904 0.877 0.455
H 0.954 0.749 0.325
H 0.954 0.751 0.825
H 0.991 0.086 0.680
H 0.991 0.414 0.180
C 0.242 0.725 0.150
C 0.242 0.775 0.650
C 0.354 0.722 0.578
C 0.354 0.778 0.078
C 0.646 0.222 0.922
C 0.646 0.278 0.422
C 0.758 0.225 0.350
C 0.758 0.275 0.850
N 0.064 0.146 0.667
N 0.064 0.354 0.167
N 0.402 0.106 0.706
N 0.402 0.394 0.206
N 0.598 0.606 0.794
N 0.598 0.894 0.294
N 0.936 0.646 0.833
N 0.936 0.854 0.333
O 0.179 0.672 0.701
O 0.179 0.828 0.201
O 0.198 0.115 0.985
O 0.198 0.385 0.485
O 0.219 0.599 0.158
O 0.219 0.901 0.658
O 0.323 0.129 0.305
O 0.323 0.371 0.805
O 0.364 0.586 0.582
O 0.364 0.914 0.082
O 0.424 0.694 0.025
O 0.424 0.806 0.525
O 0.576 0.194 0.475
O 0.576 0.306 0.975
O 0.636 0.086 0.918
O 0.636 0.414 0.418
O 0.677 0.629 0.195
O 0.677 0.871 0.695
O 0.781 0.099 0.342
O 0.781 0.401 0.842
O 0.802 0.615 0.515
O 0.802 0.885 0.015
O 0.821 0.172 0.799
O 0.821 0.328 0.299
F 0.100 0.064 0.298
F 0.100 0.436 0.798
F 0.900 0.564 0.202
F 0.900 0.936 0.702
! - E (eV per atom) = -6.103
! - crystal system = monoclinic
! - space-group type = P2_1/c